No. 1
A geometry-optimized Pr2TmMg3Ir2Pd structure. Source: the Open Quantum Materials Database, functional PBE.

Output
VASP energy in hartree per atom: -0.1933
ρ in kg/m3: 8560
Total magnetic moment in μB/atom: 0.000

a b c (Å): 4.0862 7.4387 7.4387
angles (deg): 119.50 90.00 90.00
Last column: nearest neighbours and their distance in Å.
Sites, in units of the cell vectors:
Pr 0.0000 0.2101 0.7899  4 Ir 3.07-3.08, 1 Pd 3.16, 6 Mg 3.23-3.43
Pr 0.0000 0.7899 0.2101  4 Ir 3.07-3.08, 1 Pd 3.16, 6 Mg 3.23-3.43
Tm 0.0000 0.6220 0.6220  4 Ir 2.95, 1 Pd 3.03, 2 Mg 3.26
Mg 0.5000 0.2128 0.4555  2 Pd 2.71, 2 Ir 2.82-2.99
Mg 0.5000 0.4555 0.2128  2 Pd 2.71, 2 Ir 2.82-2.99
Mg 0.5000 0.9604 0.9604  2 Ir 2.79, 2 Pd 2.81
Ir 0.5000 0.5472 0.8636  3 Mg 2.79-2.99, 2 Tm 2.95, 4 Pr 3.07-3.08
Ir 0.5000 0.8636 0.5472  3 Mg 2.79-2.99, 2 Tm 2.95, 4 Pr 3.07-3.08
Pd 0.0000 0.2178 0.2178  6 Mg 2.71-2.81, 1 Tm 3.03

No. 2
A geometry-optimized Tb6Al43W4 structure. Source: the Open Quantum Materials Database, functional PBE.

Output
VASP energy in hartree per atom: -0.1770
ρ in kg/m3: 5066
Total magnetic moment in μB/atom: 0.000

a b c (Å): 11.0171 11.0171 17.7703
angles (deg): 90.00 90.00 120.00
Last column: nearest neighbours and their distance in Å.
Sites, in units of the cell vectors:
Tb 0.0000 0.4686 0.0956  15 Al 3.07-3.41
Tb 0.0000 0.4686 0.4044  15 Al 3.07-3.41
Tb 0.0000 0.5314 0.5956  15 Al 3.07-3.41
Tb 0.0000 0.5314 0.9044  15 Al 3.07-3.41
Tb 0.4686 0.0000 0.0956  15 Al 3.07-3.41
Tb 0.4686 0.0000 0.4044  15 Al 3.07-3.41
Tb 0.4686 0.4686 0.5956  15 Al 3.07-3.41
Tb 0.4686 0.4686 0.9044  15 Al 3.07-3.41
Tb 0.5314 0.0000 0.5956  15 Al 3.07-3.41
Tb 0.5314 0.0000 0.9044  15 Al 3.07-3.41
Tb 0.5314 0.5314 0.0956  15 Al 3.07-3.41
Tb 0.5314 0.5314 0.4044  15 Al 3.07-3.41
Al 0.0000 0.1487 0.7500  2 W 2.58, 6 Al 2.83-2.84
Al 0.0000 0.1605 0.1142  2 W 2.69-2.70, 7 Al 2.74-2.96
Al 0.0000 0.1605 0.3858  2 W 2.69-2.70, 7 Al 2.74-2.96
Al 0.0000 0.2542 0.5304  9 Al 2.74-3.00, 1 W 2.85
Al 0.0000 0.2542 0.9696  9 Al 2.74-3.00, 1 W 2.85
Al 0.0000 0.7458 0.0304  9 Al 2.74-3.00, 1 W 2.85
Al 0.0000 0.7458 0.4696  9 Al 2.74-3.00, 1 W 2.85
Al 0.0000 0.8395 0.6142  2 W 2.69-2.70, 7 Al 2.74-2.96
Al 0.0000 0.8395 0.8858  2 W 2.69-2.70, 7 Al 2.74-2.96
Al 0.0000 0.8513 0.2500  2 W 2.58, 6 Al 2.83-2.84
Al 0.1475 0.5519 0.2500  1 W 2.69, 7 Al 2.74-2.84
Al 0.1475 0.5955 0.7500  1 W 2.69, 7 Al 2.74-2.84
Al 0.1487 0.0000 0.7500  2 W 2.58, 6 Al 2.83-2.84
Al 0.1487 0.1487 0.2500  2 W 2.58, 6 Al 2.83-2.84
Al 0.1581 0.3946 0.6637  7 Al 2.72-3.02, 1 W 2.73
Al 0.1581 0.3946 0.8363  7 Al 2.72-3.02, 1 W 2.73
Al 0.1581 0.7635 0.1637  7 Al 2.72-3.02, 1 W 2.73
Al 0.1581 0.7635 0.3363  7 Al 2.72-3.02, 1 W 2.73
Al 0.1605 0.0000 0.1142  2 W 2.69-2.70, 7 Al 2.74-2.96
Al 0.1605 0.0000 0.3858  2 W 2.69-2.70, 7 Al 2.74-2.96
Al 0.1605 0.1605 0.6142  2 W 2.69-2.70, 7 Al 2.74-2.96
Al 0.1605 0.1605 0.8858  2 W 2.69-2.70, 7 Al 2.74-2.96
Al 0.2365 0.3946 0.1637  7 Al 2.72-3.02, 1 W 2.73
Al 0.2365 0.3946 0.3363  7 Al 2.72-3.02, 1 W 2.73
Al 0.2365 0.8419 0.6637  7 Al 2.72-3.02, 1 W 2.73
Al 0.2365 0.8419 0.8363  7 Al 2.72-3.02, 1 W 2.73
Al 0.2470 0.4939 0.0000  6 Al 2.74-2.85
Al 0.2470 0.4939 0.5000  6 Al 2.74-2.85
Al 0.2470 0.7530 0.0000  6 Al 2.74-2.85
Al 0.2470 0.7530 0.5000  6 Al 2.74-2.85
Al 0.2542 0.0000 0.5304  9 Al 2.74-3.00, 1 W 2.85
Al 0.2542 0.0000 0.9696  9 Al 2.74-3.00, 1 W 2.85
Al 0.2542 0.2542 0.0304  9 Al 2.74-3.00, 1 W 2.85
Al 0.2542 0.2542 0.4696  9 Al 2.74-3.00, 1 W 2.85
Al 0.3333 0.6667 0.1256  9 Al 2.72-2.84
Al 0.3333 0.6667 0.3744  9 Al 2.72-2.84
Al 0.3333 0.6667 0.6256  9 Al 2.72-2.84
Al 0.3333 0.6667 0.8744  9 Al 2.72-2.84
Al 0.3946 0.1581 0.6637  7 Al 2.72-3.02, 1 W 2.73
Al 0.3946 0.1581 0.8363  7 Al 2.72-3.02, 1 W 2.73
Al 0.3946 0.2365 0.1637  7 Al 2.72-3.02, 1 W 2.73
Al 0.3946 0.2365 0.3363  7 Al 2.72-3.02, 1 W 2.73
Al 0.4045 0.5519 0.7500  1 W 2.69, 7 Al 2.74-2.84
Al 0.4045 0.8525 0.2500  1 W 2.69, 7 Al 2.74-2.84
Al 0.4481 0.5955 0.2500  1 W 2.69, 7 Al 2.74-2.84
Al 0.4481 0.8525 0.7500  1 W 2.69, 7 Al 2.74-2.84
Al 0.4939 0.2470 0.0000  6 Al 2.74-2.85
Al 0.4939 0.2470 0.5000  6 Al 2.74-2.85
Al 0.5061 0.7530 0.0000  6 Al 2.74-2.85
Al 0.5061 0.7530 0.5000  6 Al 2.74-2.85
Al 0.5519 0.1475 0.2500  1 W 2.69, 7 Al 2.74-2.84
Al 0.5519 0.4045 0.7500  1 W 2.69, 7 Al 2.74-2.84
Al 0.5955 0.1475 0.7500  1 W 2.69, 7 Al 2.74-2.84
Al 0.5955 0.4481 0.2500  1 W 2.69, 7 Al 2.74-2.84
Al 0.6054 0.7635 0.6637  7 Al 2.72-3.02, 1 W 2.73
Al 0.6054 0.7635 0.8363  7 Al 2.72-3.02, 1 W 2.73
Al 0.6054 0.8419 0.1637  7 Al 2.72-3.02, 1 W 2.73
Al 0.6054 0.8419 0.3363  7 Al 2.72-3.02, 1 W 2.73
Al 0.6667 0.3333 0.1256  9 Al 2.72-2.84
Al 0.6667 0.3333 0.3744  9 Al 2.72-2.84
Al 0.6667 0.3333 0.6256  9 Al 2.72-2.84
Al 0.6667 0.3333 0.8744  9 Al 2.72-2.84
Al 0.7458 0.0000 0.0304  9 Al 2.74-3.00, 1 W 2.85
Al 0.7458 0.0000 0.4696  9 Al 2.74-3.00, 1 W 2.85
Al 0.7458 0.7458 0.5304  9 Al 2.74-3.00, 1 W 2.85
Al 0.7458 0.7458 0.9696  9 Al 2.74-3.00, 1 W 2.85
Al 0.7530 0.2470 0.0000  6 Al 2.74-2.85
Al 0.7530 0.2470 0.5000  6 Al 2.74-2.85
Al 0.7530 0.5061 0.0000  6 Al 2.74-2.85
Al 0.7530 0.5061 0.5000  6 Al 2.74-2.85
Al 0.7635 0.1581 0.1637  7 Al 2.72-3.02, 1 W 2.73
Al 0.7635 0.1581 0.3363  7 Al 2.72-3.02, 1 W 2.73
Al 0.7635 0.6054 0.6637  7 Al 2.72-3.02, 1 W 2.73
Al 0.7635 0.6054 0.8363  7 Al 2.72-3.02, 1 W 2.73
Al 0.8395 0.0000 0.6142  2 W 2.69-2.70, 7 Al 2.74-2.96
Al 0.8395 0.0000 0.8858  2 W 2.69-2.70, 7 Al 2.74-2.96
Al 0.8395 0.8395 0.1142  2 W 2.69-2.70, 7 Al 2.74-2.96
Al 0.8395 0.8395 0.3858  2 W 2.69-2.70, 7 Al 2.74-2.96
Al 0.8419 0.2365 0.6637  7 Al 2.72-3.02, 1 W 2.73
Al 0.8419 0.2365 0.8363  7 Al 2.72-3.02, 1 W 2.73
Al 0.8419 0.6054 0.1637  7 Al 2.72-3.02, 1 W 2.73
Al 0.8419 0.6054 0.3363  7 Al 2.72-3.02, 1 W 2.73
Al 0.8513 0.0000 0.2500  2 W 2.58, 6 Al 2.83-2.84
Al 0.8513 0.8513 0.7500  2 W 2.58, 6 Al 2.83-2.84
Al 0.8525 0.4045 0.2500  1 W 2.69, 7 Al 2.74-2.84
Al 0.8525 0.4481 0.7500  1 W 2.69, 7 Al 2.74-2.84
W 0.0000 0.0000 0.0000  12 Al 2.69-2.85
W 0.0000 0.0000 0.5000  12 Al 2.69-2.85
W 0.0000 0.2700 0.2500  10 Al 2.58-2.73
W 0.0000 0.7300 0.7500  10 Al 2.58-2.73
W 0.2700 0.0000 0.2500  10 Al 2.58-2.73
W 0.2700 0.2700 0.7500  10 Al 2.58-2.73
W 0.7300 0.0000 0.7500  10 Al 2.58-2.73
W 0.7300 0.7300 0.2500  10 Al 2.58-2.73

No. 3
A geometry-optimized ZnGaFeW structure. Source: the Open Quantum Materials Database, functional PBE.

Output
Energy above the lowest structure with this stoichiometry in meV per atom: 0
ρ in kg/m3: 11401
Total magnetic moment in μB/atom: 0.218

a b c (Å): 4.2581 4.2581 4.2581
angles (deg): 60.00 60.00 60.00
Last column: nearest neighbours and their distance in Å.
Sites, in units of the cell vectors:
Zn 0.0000 0.0000 0.0000  4 Ga 2.61, 4 W 2.61
Ga 0.2500 0.2500 0.2500  4 Fe 2.61, 4 Zn 2.61
Fe 0.5000 0.5000 0.5000  4 Ga 2.61, 4 W 2.61
W 0.7500 0.7500 0.7500  4 Fe 2.61, 4 Zn 2.61

No. 4
A geometry-optimized ZrReAs2 structure. Source: the Open Quantum Materials Database, functional PBE.

Output
VASP energy in hartree per atom: -0.2732
ρ in kg/m3: 10112
Total magnetic moment in μB/atom: 0.000

a b c (Å): 4.6296 4.6296 4.6296
angles (deg): 60.00 60.00 60.00
Last column: nearest neighbours and their distance in Å.
Sites, in units of the cell vectors:
Zr 0.0000 0.0000 0.0000  4 As 2.84, 4 Re 2.84
Re 0.7500 0.7500 0.7500  4 Zr 2.84, 4 As 2.84
As 0.2500 0.2500 0.2500  4 Zr 2.84, 4 As 2.84
As 0.5000 0.5000 0.5000  4 As 2.84, 4 Re 2.84

No. 5
A geometry-optimized GdYPd4Pb2 structure. Source: the Open Quantum Materials Database, functional PBE.

Output
VASP energy in hartree per atom: -0.2057
ρ in kg/m3: 10643
Total magnetic moment in μB/atom: 0.001

a b c (Å): 4.6823 4.6823 8.9259
angles (deg): 90.00 90.00 120.00
Last column: nearest neighbours and their distance in Å.
Sites, in units of the cell vectors:
Gd 0.0000 0.0000 0.0000  8 Pd 3.04-3.06
Y 0.6667 0.3333 0.5000  8 Pd 3.03-3.06
Pd 0.0000 0.0000 0.3401  3 Pb 2.82, 4 Pd 2.85-3.14, 1 Gd 3.04, 3 Y 3.06
Pd 0.0000 0.0000 0.6599  3 Pb 2.82, 4 Pd 2.85-3.14, 1 Gd 3.04, 3 Y 3.06
Pd 0.6667 0.3333 0.1604  3 Pb 2.82, 4 Pd 2.86-3.14, 1 Y 3.03, 3 Gd 3.06
Pd 0.6667 0.3333 0.8396  3 Pb 2.82, 4 Pd 2.86-3.14, 1 Y 3.03, 3 Gd 3.06
Pb 0.3333 0.6667 0.2518  6 Pd 2.82
Pb 0.3333 0.6667 0.7482  6 Pd 2.82

No. 6
A geometry-optimized ZrAl structure. Source: the Open Quantum Materials Database, functional PBE.

Output
VASP energy in hartree per atom: -0.2306
ρ in kg/m3: 4875
Total magnetic moment in μB/atom: 0.007

a b c (Å): 6.1614 5.1932 5.0334
angles (deg): 90.00 90.00 90.00
Last column: nearest neighbours and their distance in Å.
Sites, in units of the cell vectors:
Zr 0.1283 0.0539 0.2500  6 Al 2.99-3.15, 6 Zr 3.02-3.24
Zr 0.1283 0.4461 0.7500  6 Al 2.99-3.15, 6 Zr 3.02-3.24
Zr 0.8717 0.5539 0.2500  6 Al 2.99-3.15, 6 Zr 3.02-3.24
Zr 0.8717 0.9461 0.7500  6 Al 2.99-3.15, 6 Zr 3.02-3.24
Al 0.3827 0.5644 0.2500  6 Al 2.97-3.17, 6 Zr 2.99-3.15
Al 0.3827 0.9356 0.7500  6 Al 2.97-3.17, 6 Zr 2.99-3.15
Al 0.6173 0.0644 0.2500  6 Al 2.97-3.17, 6 Zr 2.99-3.15
Al 0.6173 0.4356 0.7500  6 Al 2.97-3.17, 6 Zr 2.99-3.15

No. 7
A geometry-optimized TaAgBi2 structure. Source: the Open Quantum Materials Database, functional PBE.

Output
VASP energy in hartree per atom: -0.1805
ρ in kg/m3: 12416
Total magnetic moment in μB/atom: 0.003

a b c (Å): 5.1131 5.1131 5.1131
angles (deg): 60.00 60.00 60.00
Last column: nearest neighbours and their distance in Å.
Sites, in units of the cell vectors:
Ta 0.0000 0.0000 0.0000  4 Bi 3.13, 4 Ag 3.13
Ag 0.2500 0.2500 0.2500  4 Ta 3.13, 4 Bi 3.13
Bi 0.5000 0.5000 0.5000  4 Bi 3.13, 4 Ag 3.13
Bi 0.7500 0.7500 0.7500  4 Bi 3.13, 4 Ta 3.13

No. 8
A geometry-optimized Pr3Ni7Pt2 structure. Source: the Open Quantum Materials Database, functional PBE.

Output
Energy of formation in eV/atom: -0.422
ρ in kg/m3: 10382
Total magnetic moment in μB/atom: 0.060

a b c (Å): 8.9490 8.9490 8.9490
angles (deg): 33.62 33.62 33.62
Last column: nearest neighbours and their distance in Å.
Sites, in units of the cell vectors:
Pr 0.0000 0.0000 0.0000  6 Pt 2.99
Pr 0.1393 0.1393 0.1393  12 Ni 2.93-3.15
Pr 0.8607 0.8607 0.8607  12 Ni 2.93-3.15
Ni 0.0869 0.5839 0.5839  5 Ni 2.55-2.60, 2 Pt 2.60-2.63
Ni 0.4161 0.4161 0.9131  5 Ni 2.55-2.60, 2 Pt 2.60-2.63
Ni 0.4161 0.9131 0.4161  5 Ni 2.55-2.60, 2 Pt 2.60-2.63
Ni 0.5000 0.5000 0.5000  6 Ni 2.55
Ni 0.5839 0.0869 0.5839  5 Ni 2.55-2.60, 2 Pt 2.60-2.63
Ni 0.5839 0.5839 0.0869  5 Ni 2.55-2.60, 2 Pt 2.60-2.63
Ni 0.9131 0.4161 0.4161  5 Ni 2.55-2.60, 2 Pt 2.60-2.63
Pt 0.3322 0.3322 0.3322  6 Ni 2.60-2.63
Pt 0.6678 0.6678 0.6678  6 Ni 2.60-2.63

No. 9
A geometry-optimized PrNdGa2Br2 structure. Source: the Open Quantum Materials Database, functional PBE.

Output
VASP energy in hartree per atom: -0.1625
ρ in kg/m3: 5346
Total magnetic moment in μB/atom: 0.001

a b c (Å): 4.2507 4.2507 11.6010
angles (deg): 90.00 90.00 120.00
Last column: nearest neighbours and their distance in Å.
Sites, in units of the cell vectors:
Pr 0.0000 0.0000 0.0000  3 Br 3.06, 3 Ga 3.06
Nd 0.0000 0.0000 0.3670  3 Br 3.05, 3 Ga 3.06
Ga 0.3333 0.6667 0.2099  3 Ga 2.53
Ga 0.6667 0.3333 0.1575  3 Ga 2.53
Br 0.3333 0.6667 0.8432  3 Pr 3.06
Br 0.6667 0.3333 0.5235  3 Nd 3.05

No. 10
A geometry-optimized TePd14 structure. Source: the Open Quantum Materials Database, functional PBE.

Output
Energy above the lowest structure with this stoichiometry in meV per atom: 0
ρ in kg/m3: 11220

a b c (Å): 4.7899 7.3128 13.7013
angles (deg): 88.17 86.54 89.05
Last column: nearest neighbours and their distance in Å.
Sites, in units of the cell vectors:
Te 0.1596 0.2161 0.0409  9 Pd 2.64-2.92
Te 0.8404 0.7839 0.9591  9 Pd 2.64-2.92
Pd 0.0479 0.5894 0.8055  1 Te 2.71, 10 Pd 2.71-2.85
Pd 0.0709 0.7437 0.6116  12 Pd 2.75-2.85
Pd 0.0946 0.8963 0.4207  12 Pd 2.75-2.81
Pd 0.1149 0.0472 0.2311  11 Pd 2.73-2.85, 1 Te 2.85
Pd 0.2093 0.2377 0.8409  10 Pd 2.71-2.87, 1 Te 2.74
Pd 0.2288 0.3852 0.6452  12 Pd 2.73-2.85
Pd 0.2568 0.5384 0.4523  12 Pd 2.75-2.83
Pd 0.2811 0.6912 0.2593  12 Pd 2.73-2.89
Pd 0.3004 0.8496 0.0632  7 Pd 2.75-2.89, 3 Te 2.75-2.92
Pd 0.3690 0.8763 0.8627  9 Pd 2.75-2.83, 2 Te 2.75-2.87
Pd 0.3941 0.0293 0.6741  12 Pd 2.73-2.87
Pd 0.4172 0.1797 0.4838  12 Pd 2.75-2.81
Pd 0.4409 0.3340 0.2936  12 Pd 2.74-2.87
Pd 0.4622 0.4866 0.0980  1 Te 2.64, 8 Pd 2.69-2.87
Pd 0.5378 0.5134 0.9020  1 Te 2.64, 8 Pd 2.69-2.87
Pd 0.5591 0.6660 0.7064  12 Pd 2.74-2.87
Pd 0.5828 0.8203 0.5162  12 Pd 2.75-2.81
Pd 0.6059 0.9707 0.3259  12 Pd 2.73-2.87
Pd 0.6310 0.1237 0.1373  9 Pd 2.75-2.83, 2 Te 2.75-2.87
Pd 0.6996 0.1504 0.9368  7 Pd 2.75-2.89, 3 Te 2.75-2.92
Pd 0.7189 0.3088 0.7407  12 Pd 2.73-2.89
Pd 0.7432 0.4616 0.5477  12 Pd 2.75-2.83
Pd 0.7712 0.6148 0.3548  12 Pd 2.73-2.85
Pd 0.7907 0.7623 0.1591  10 Pd 2.71-2.87, 1 Te 2.74
Pd 0.8851 0.9528 0.7689  11 Pd 2.73-2.85, 1 Te 2.85
Pd 0.9054 0.1037 0.5793  12 Pd 2.75-2.81
Pd 0.9291 0.2563 0.3884  12 Pd 2.75-2.85
Pd 0.9521 0.4106 0.1945  1 Te 2.71, 10 Pd 2.71-2.85

Question: Among the records above, which one has the highest ρ?
Answer: TaAgBi2

Question: ρ of number 4 (ZrReAs2)?
Answer: 10112 kg/m3

Repeat the sixth record exactly.
A geometry-optimized ZrAl structure. Source: the Open Quantum Materials Database, functional PBE.

Output
VASP energy in hartree per atom: -0.2306
ρ in kg/m3: 4875
Total magnetic moment in μB/atom: 0.007

a b c (Å): 6.1614 5.1932 5.0334
angles (deg): 90.00 90.00 90.00
Last column: nearest neighbours and their distance in Å.
Sites, in units of the cell vectors:
Zr 0.1283 0.0539 0.2500  6 Al 2.99-3.15, 6 Zr 3.02-3.24
Zr 0.1283 0.4461 0.7500  6 Al 2.99-3.15, 6 Zr 3.02-3.24
Zr 0.8717 0.5539 0.2500  6 Al 2.99-3.15, 6 Zr 3.02-3.24
Zr 0.8717 0.9461 0.7500  6 Al 2.99-3.15, 6 Zr 3.02-3.24
Al 0.3827 0.5644 0.2500  6 Al 2.97-3.17, 6 Zr 2.99-3.15
Al 0.3827 0.9356 0.7500  6 Al 2.97-3.17, 6 Zr 2.99-3.15
Al 0.6173 0.0644 0.2500  6 Al 2.97-3.17, 6 Zr 2.99-3.15
Al 0.6173 0.4356 0.7500  6 Al 2.97-3.17, 6 Zr 2.99-3.15

Question: ρ of number 3 (ZnGaFeW)?
Answer: 11401 kg/m3